1.
The following is a DFT calculation (PBE) of a relaxed structure of MnCu6Au2.

Structure (CIF):
```
data_MnCu6Au2
_symmetry_space_group_name_H-M 'C 1 2/m 1'
_symmetry_Int_Tables_number 12
_symmetry_space_group_name_Hall '-C 2y'
_cell_length_a 5.7637
_cell_length_b 12.3247
_cell_length_c 3.7659
_cell_angle_alpha 90.00
_cell_angle_beta 108.73
_cell_angle_gamma 90.00
loop_
_atom_site_label
_atom_site_fract_x
_atom_site_fract_y
_atom_site_fract_z
Mn1 0.0000 0.0000 0.0000
Cu1 0.1553 0.5000 0.3283
Cu2 0.1560 0.3471 0.8338
Au1 0.0000 0.1608 0.5000
```

Output
E above lowest polymorph: 0 meV/atom
E_form: 0.06 eV per atom
VASP energy: -4.418 eV per atom


2.
The following is a DFT calculation (PBE) of a relaxed structure of SrLaNdSm.

Structure (CIF):
```
data_SrLaNdSm
_symmetry_space_group_name_H-M 'F -4 3 m'
_symmetry_Int_Tables_number 216
_symmetry_space_group_name_Hall 'F -4 2 3'
_cell_length_a 8.5369
_cell_length_b 8.5369
_cell_length_c 8.5369
_cell_angle_alpha 90.00
_cell_angle_beta 90.00
_cell_angle_gamma 90.00
loop_
_atom_site_label
_atom_site_fract_x
_atom_site_fract_y
_atom_site_fract_z
Sr1 0.0000 0.0000 0.0000
La1 0.2500 0.2500 0.2500
Nd1 0.2500 0.2500 0.7500
Sm1 0.0000 0.0000 0.5000
```

Output
E_form: 0.21 eV per atom
VASP energy: -3.817 eV per atom


3.
The following is a DFT calculation (PBE) of a relaxed structure of La2Mg16Ir.

Structure (CIF):
```
data_La2Mg16Ir
_symmetry_space_group_name_H-M 'R 3 m'
_symmetry_Int_Tables_number 160
_symmetry_space_group_name_Hall 'R 3 -2"'
_cell_length_a 10.2481
_cell_length_b 10.2481
_cell_length_c 15.0228
_cell_angle_alpha 90.00
_cell_angle_beta 90.00
_cell_angle_gamma 120.00
loop_
_atom_site_label
_atom_site_fract_x
_atom_site_fract_y
_atom_site_fract_z
La1 0.0000 0.0000 0.0000
La2 0.0000 0.0000 0.3540
Mg1 0.0000 0.0000 0.6180
Mg2 0.9997 0.2960 0.6883
Mg3 0.0043 0.5022 0.8401
Mg4 0.0071 0.5035 0.5322
Mg5 0.1750 0.3500 0.5196
Ir1 0.0000 0.0000 0.8074
```

Output
E_form: -0.09 eV per atom
VASP energy: -2.416 eV per atom


4.
The following is a DFT calculation (PBE) of a relaxed structure of ThSc2Tc2.

Structure (CIF):
```
data_ThSc2Tc2
_symmetry_space_group_name_H-M 'C 1 2/m 1'
_symmetry_Int_Tables_number 12
_symmetry_space_group_name_Hall '-C 2y'
_cell_length_a 8.2196
_cell_length_b 4.7612
_cell_length_c 5.5409
_cell_angle_alpha 90.00
_cell_angle_beta 90.19
_cell_angle_gamma 90.00
loop_
_atom_site_label
_atom_site_fract_x
_atom_site_fract_y
_atom_site_fract_z
Th1 0.0000 0.0000 0.0000
Sc1 0.1667 0.5000 0.3707
Tc1 0.1669 0.5000 0.8674
```

Output
E above lowest polymorph: 0 meV/atom
E_form: -0.09 eV per atom
VASP energy: -8.252 eV per atom


5.
The following is a DFT calculation (PBE) of a relaxed structure of SmZn2Pd7.

Structure (CIF):
```
data_SmZn2Pd7
_symmetry_space_group_name_H-M 'C m m m'
_symmetry_Int_Tables_number 65
_symmetry_space_group_name_Hall '-C 2 2'
_cell_length_a 7.2580
_cell_length_b 12.4688
_cell_length_c 4.5167
_cell_angle_alpha 90.00
_cell_angle_beta 90.00
_cell_angle_gamma 90.00
loop_
_atom_site_label
_atom_site_fract_x
_atom_site_fract_y
_atom_site_fract_z
Sm1 0.0000 0.0000 0.0000
Zn1 0.0000 0.2996 0.5000
Pd1 0.0000 0.2190 0.0000
Pd2 0.0000 0.5000 0.5000
Pd3 0.1869 0.1188 0.5000
```

Output
E_form: -0.12 eV per atom
VASP energy: -4.482 eV per atom


6.
The following is a DFT calculation (PBE) of a relaxed structure of Cd4InTc.

Structure (CIF):
```
data_Cd4InTc
_symmetry_space_group_name_H-M 'F -4 3 m'
_symmetry_Int_Tables_number 216
_symmetry_space_group_name_Hall 'F -4 2 3'
_cell_length_a 7.9949
_cell_length_b 7.9949
_cell_length_c 7.9949
_cell_angle_alpha 90.00
_cell_angle_beta 90.00
_cell_angle_gamma 90.00
loop_
_atom_site_label
_atom_site_fract_x
_atom_site_fract_y
_atom_site_fract_z
Cd1 0.1243 0.1243 0.3757
In1 0.0000 0.0000 0.0000
Tc1 0.2500 0.2500 0.7500
```

Output
E_form: 0.52 eV per atom
VASP energy: -2.272 eV per atom


7.
The following is a DFT calculation (PBE) of a relaxed structure of Ba2AlSn4.

Structure (CIF):
```
data_Ba2AlSn4
_symmetry_space_group_name_H-M 'P 4/m m m'
_symmetry_Int_Tables_number 123
_symmetry_space_group_name_Hall '-P 4 2'
_cell_length_a 6.8645
_cell_length_b 6.8645
_cell_length_c 5.5265
_cell_angle_alpha 90.00
_cell_angle_beta 90.00
_cell_angle_gamma 90.00
loop_
_atom_site_label
_atom_site_fract_x
_atom_site_fract_y
_atom_site_fract_z
Ba1 0.0000 0.5000 0.0000
Al1 0.0000 0.0000 0.5000
Sn1 0.2856 0.2856 0.5000
```

Output
E_form: -0.27 eV per atom
VASP energy: -3.643 eV per atom


8.
The following is a DFT calculation (PBE) of a relaxed structure of Rb4Tb3ZrO8.

Structure (CIF):
```
data_Rb4Tb3ZrO8
_symmetry_space_group_name_H-M 'R -3 m'
_symmetry_Int_Tables_number 166
_symmetry_space_group_name_Hall '-R 3 2"'
_cell_length_a 6.9750
_cell_length_b 6.9750
_cell_length_c 19.6868
_cell_angle_alpha 90.00
_cell_angle_beta 90.00
_cell_angle_gamma 120.00
loop_
_atom_site_label
_atom_site_fract_x
_atom_site_fract_y
_atom_site_fract_z
Rb1 0.0000 0.0000 0.0000
Rb2 0.0000 0.5000 0.0000
Tb1 0.0000 0.5000 0.5000
Zr1 0.0000 0.0000 0.5000
O1 0.0000 0.0000 0.2244
O2 0.0176 0.5088 0.2239
```

Output
VASP energy: -6.695 eV per atom


9.
The following is a DFT calculation (PBE) of a relaxed structure of Pm5Cd2Ru2Rh.

Structure (CIF):
```
data_Pm5Cd2Ru2Rh
_symmetry_space_group_name_H-M 'P 4/m b m'
_symmetry_Int_Tables_number 127
_symmetry_space_group_name_Hall '-P 4 2ab'
_cell_length_a 11.6894
_cell_length_b 11.6894
_cell_length_c 3.6962
_cell_angle_alpha 90.00
_cell_angle_beta 90.00
_cell_angle_gamma 90.00
loop_
_atom_site_label
_atom_site_fract_x
_atom_site_fract_y
_atom_site_fract_z
Pm1 0.0000 0.5000 0.0000
Pm2 0.0701 0.1970 0.0000
Cd1 0.1799 0.6799 0.5000
Ru1 0.1336 0.3664 0.5000
Rh1 0.0000 0.0000 0.5000
```

Output
E_form: -0.28 eV per atom
VASP energy: -5.424 eV per atom


10.
The following is a DFT calculation (PBE) of a relaxed structure of InFe2Rh.

Structure (CIF):
```
data_InFe2Rh
_symmetry_space_group_name_H-M 'I -4 2 d'
_symmetry_Int_Tables_number 122
_symmetry_space_group_name_Hall 'I -4 2bw'
_cell_length_a 7.1109
_cell_length_b 7.1109
_cell_length_c 5.2454
_cell_angle_alpha 90.00
_cell_angle_beta 90.00
_cell_angle_gamma 90.00
loop_
_atom_site_label
_atom_site_fract_x
_atom_site_fract_y
_atom_site_fract_z
In1 0.0000 0.0000 0.0000
Fe1 0.2184 0.7500 0.6250
Rh1 0.0000 0.0000 0.5000
```

Output
E_form: 0.41 eV per atom
VASP energy: -6.343 eV per atom


11.
The following is a DFT calculation (PBE) of a relaxed structure of Cr3GaPt.

Structure (CIF):
```
data_Cr3GaPt
_symmetry_space_group_name_H-M 'P m -3 m'
_symmetry_Int_Tables_number 221
_symmetry_space_group_name_Hall '-P 4 2 3'
_cell_length_a 4.8780
_cell_length_b 4.8780
_cell_length_c 4.8780
_cell_angle_alpha 90.00
_cell_angle_beta 90.00
_cell_angle_gamma 90.00
loop_
_atom_site_label
_atom_site_fract_x
_atom_site_fract_y
_atom_site_fract_z
Cr1 0.0000 0.0000 0.5000
Ga1 0.5000 0.5000 0.5000
Pt1 0.0000 0.0000 0.0000
```

Output
E above lowest polymorph: 0 meV/atom
E_form: 1.10 eV per atom
VASP energy: -6.487 eV per atom


12.
The following is a DFT calculation (PBE) of a relaxed structure of ZnAsAu2.

Structure (CIF):
```
data_ZnAsAu2
_symmetry_space_group_name_H-M 'C 1 m 1'
_symmetry_Int_Tables_number 8
_symmetry_space_group_name_Hall 'C -2y'
_cell_length_a 10.7874
_cell_length_b 3.4600
_cell_length_c 4.0063
_cell_angle_alpha 90.00
_cell_angle_beta 90.36
_cell_angle_gamma 90.00
loop_
_atom_site_label
_atom_site_fract_x
_atom_site_fract_y
_atom_site_fract_z
Zn1 0.0000 0.0000 0.0000
As1 0.2001 0.5000 0.4917
Au1 0.2599 0.0000 0.9929
Au2 0.4572 0.0000 0.4998
```

Output
E above lowest polymorph: 6 meV/atom
E_form: 0.02 eV per atom
VASP energy: -3.100 eV per atom


no.,volume (Å³ per cell),total magnetic moment (μB per cell)
1,253.4,8.24
2,622.2,0.05
3,1366.4,0.00
4,216.8,0.00
5,408.8,0.00
6,511.0,7.78
7,260.4,0.00
8,829.4,0.00
9,505.1,0.00
10,265.2,24.75
11,116.1,11.93
12,149.5,0.00